# CaBeS3 (PBE-GGA, relaxed)
# Energy relative to the elements, uncorrected in meV per atom: 709.6
# ΔE to the lowest computed polymorph in eV/atom: 1.3466
# Calculated volume in Å³/f.u.: 141.8
data_CaBeS3
_chemical_formula_sum 'Ca1 Be1 S3'
_cell_length_a 5.214
_cell_length_b 5.214
_cell_length_c 5.214
_cell_angle_alpha 90.00
_cell_angle_beta 90.00
_cell_angle_gamma 90.00
_space_group_name_H-M_alt 'P m -3 m'
_space_group_IT_number 221
_space_group_name_Hall '-P 4 2 3'
loop_
_atom_site_label
_atom_site_type_symbol
_atom_site_fract_x
_atom_site_fract_y
_atom_site_fract_z
_atom_site_occupancy
Ca1 Ca 0.000 0.000 0.000 1
Be1 Be 0.500 0.500 0.500 1
S1 S 0.000 0.000 0.500 1